Here is V3PbF8 after structural relaxation from Alexandria via LeMat-Bulk. Energies are from GGA+U.

a = 6.5295 Å, b = 6.5295 Å, c = 7.2225 Å
α = 63.13°, β = 63.13°, γ = 60.00°
Site moments in Bohr magnetons follow the coordinates.
Element x y z (fractional)
F 0.7473 0.3133 0.1920  0.01
F 0.2527 0.6867 0.8080  0.01
F 0.7473 0.7473 0.1920  0.01
F 0.3133 0.7473 0.1920  0.01
F 0.7222 0.7222 0.8334  0.01
F 0.6867 0.2527 0.8080  0.01
F 0.2778 0.2778 0.1666  0.01
F 0.2527 0.2527 0.8080  0.01
V 0.5000 0.0000 0.0000  2.76
V 0.5000 0.5000 0.0000  2.76
V 0.0000 0.5000 0.0000  2.76
Pb 0.5000 0.5000 0.5000  0.00

Calculated values
Total magnetization, μB/f.u.: 9.0
Space group: R-3m (166)
Energy, eV/cell: -71.0